Entry 1:
Li2FePt after structural relaxation. Source: Alexandria, functional PBE-GGA.

Values from the calculation:
The raw total energy is -4.7995 eV per atom. As for the formation energy: -0.87 eV per formula unit.

Cell: 2.795 4.352 4.440 Å, 90.00 90.00 90.00°
Space group Pmmm (No. 47)
Inequivalent atoms, fractional coordinates:
Li (0.000, 0.000, 0.000) x1
Li (0.500, 0.500, 0.000) x1
Fe (0.000, 0.500, 0.500) x1
Pt (0.500, 0.000, 0.500) x1


Entry 2:
Li2FePt after structural relaxation. Source: Alexandria, functional PBE-GGA.

Values from the calculation:
The raw total energy is -4.7616 eV per atom. As for the formation energy: -0.72 eV per formula unit.

Cell: 3.628 3.628 4.154 Å, 90.00 90.00 90.00°
Space group P4/mmm (No. 123)
Inequivalent atoms, fractional coordinates:
Li (0.000, 0.500, 0.000) x2
Fe (0.000, 0.000, 0.500) x1
Pt (0.500, 0.500, 0.500) x1


Entry 3:
LiFePt14 after structural relaxation. Source: Alexandria, functional PBE-GGA.

Values from the calculation:
The raw total energy is -6.0986 eV per atom. As for the formation energy: -2.63 eV per formula unit.

Cell: 5.591 5.591 7.792 Å, 90.00 90.00 90.00°
Space group P4/mmm (No. 123)
Inequivalent atoms, fractional coordinates:
Li (0.000, 0.000, 0.000) x1
Fe (0.500, 0.500, 0.000) x1
Pt (0.000, 0.000, 0.500) x1
Pt (0.000, 0.500, 0.000) x2
Pt (0.000, 0.500, 0.500) x2
Pt (0.251, 0.251, 0.242) x8
Pt (0.500, 0.500, 0.500) x1


Entry 4:
Li2FePt after structural relaxation. Source: Alexandria, functional PBE-GGA.

Values from the calculation:
The raw total energy is -4.7614 eV per atom. As for the formation energy: -0.71 eV per formula unit.

Cell: 3.624 3.624 8.354 Å, 90.00 90.00 90.00°
Space group I4/mmm (No. 139)
Inequivalent atoms, fractional coordinates:
Li (0.000, 0.500, 0.250) x4
Fe (0.000, 0.000, 0.000) x2
Pt (0.000, 0.000, 0.500) x2


Entry 5:
Li2FePt after structural relaxation. Source: Alexandria, functional PBE-GGA.

Values from the calculation:
The raw total energy is -4.8092 eV per atom. As for the formation energy: -0.91 eV per formula unit.

Cell: 9.480 2.890 4.269 Å, 90.00 111.93 90.00°
Space group C2/m (No. 12)
Inequivalent atoms, fractional coordinates:
Li (0.248, 0.000, 0.247) x4
Fe (0.000, 0.000, 0.500) x2
Pt (0.000, 0.500, 0.000) x2


Entry 6:
LiFe2Pt6 after structural relaxation. Source: Alexandria, functional PBE-GGA.

Values from the calculation:
The raw total energy is -6.3600 eV per atom. As for the formation energy: -2.16 eV per formula unit.

Cell: 7.3787 7.3787 2.7742 Å, 90.00 90.00 120.00°
Space group P-62m (No. 189)
Inequivalent atoms, fractional coordinates:
Li (0.0000, 0.0000, 0.0000) x1
Fe (0.3333, 0.6667, 0.5000) x2
Pt (0.0000, 0.3657, 0.0000) x3
Pt (0.0000, 0.7025, 0.5000) x3


Entry 7:
LiFePt3 after structural relaxation. Source: Alexandria, functional PBE-GGA.

Values from the calculation:
The raw total energy is -5.1355 eV per atom. As for the formation energy: 2.82 eV per formula unit. As for the energy relative to the lowest polymorph listed for this composition: 0.00 eV/f.u.

Cell: 4.625 4.625 4.625 Å, 90.00 90.00 90.00°
Space group Pm-3m (No. 221)
Inequivalent atoms, fractional coordinates:
Li (0.000, 0.000, 0.000) x1
Fe (0.500, 0.500, 0.500) x1
Pt (0.000, 0.500, 0.500) x3


Entry 8:
LiFe2Pt after structural relaxation. Source: Alexandria, functional PBE-GGA.

Values from the calculation:
The raw total energy is -6.2957 eV per atom. As for the formation energy: -0.30 eV per formula unit.

Cell: 2.605 4.238 4.828 Å, 90.00 102.53 90.00°
Space group P2/m (No. 10)
Inequivalent atoms, fractional coordinates:
Li (0.000, 0.000, 0.000) x1
Fe (0.208, 0.500, 0.757) x2
Pt (0.500, 0.000, 0.500) x1


The lowest raw total energy belongs to which entry? LiFe2Pt6